1.
The following is a DFT calculation (GGA-PBEsol) of crystalline Zn2Au at its relaxed geometry.

Geometry as extended XYZ:
```
3
Lattice="0.000 2.990 2.990 2.990 0.000 2.990 2.990 2.990 0.000" Properties=species:S:1:pos:R:3 pbc="T T T"
Zn 1.495 1.495 1.495
Zn 4.485 4.485 4.485
Au 0.000 0.000 0.000
```

As for the space-group type: Fm-3m, No. 225. For the formation energy, the calculation gives -0.109 eV/atom. The total energy comes out at -7.4 eV for the cell shown. The value obtained for the density is 10.178 g/cm3.


2.
The following is a DFT calculation (GGA-PBEsol) of crystalline Be3Ru2 at its relaxed geometry.

Geometry as extended XYZ:
```
10
Lattice="0.000 5.438 2.303 3.918 0.000 2.303 3.918 5.438 0.000" Properties=species:S:1:pos:R:3 pbc="T T T"
Be 0.000 0.000 0.000
Be 1.959 2.719 1.152
Be 4.462 4.172 2.924
Be 3.373 6.705 2.924
Be 5.332 6.891 4.075
Be 6.421 9.424 4.075
Ru 5.290 6.037 1.776
Ru 7.249 7.559 2.927
Ru 2.545 4.840 1.776
Ru 4.504 8.756 2.927
```

As for the space-group type: Fdd2, No. 43. For the formation energy, the calculation gives -0.267 eV/atom. The total energy comes out at -67.4 eV for the cell shown. The value obtained for the density is 7.756 g/cm3.


3.
The following is a DFT calculation (GGA-PBEsol) of crystalline SrCoW2C at its relaxed geometry.

Geometry as extended XYZ:
```
5
Lattice="4.792 0.000 0.000 0.000 4.792 0.000 0.000 0.000 4.202" Properties=species:S:1:pos:R:3 pbc="T T T"
Sr 0.000 0.000 0.000
Co 0.000 0.000 2.101
W 0.000 2.396 0.000
W 2.396 0.000 0.000
C 2.396 2.396 2.101
```

As for the space-group type: P4/mmm, No. 123. For the formation energy, the calculation gives 4.652 eV/atom. The total energy comes out at -23.6 eV for the cell shown. The value obtained for the density is 9.057 g/cm3.